No. 1
Density functional theory data (PBE-GGA) for a geometry-optimized Dy2Ga4Hg structure.

a = 5.571 Å, b = 5.571 Å, c = 10.677 Å
α = 90.00°, β = 90.00°, γ = 90.00°
Positions (direct):
Dy 0.000 0.000 0.157
Dy 0.000 0.000 0.843
Dy 0.500 0.500 0.343
Dy 0.500 0.500 0.657
Ga 0.000 0.500 0.000
Ga 0.000 0.500 0.250
Ga 0.000 0.500 0.500
Ga 0.000 0.500 0.750
Ga 0.500 0.000 0.000
Ga 0.500 0.000 0.250
Ga 0.500 0.000 0.500
Ga 0.500 0.000 0.750
Hg 0.000 0.000 0.500
Hg 0.500 0.500 0.000

Computed properties:
energy relative to the elements = -0.1768 eV per atom
density of states at the Fermi level = 0.792 states/eV/atom
SG = I4/mmm

No. 2
Density functional theory data (PBE-GGA) for a geometry-optimized Dy3Ga2Hg2 structure.

a = 4.197 Å, b = 22.037 Å, c = 3.575 Å
α = 90.00°, β = 90.00°, γ = 90.00°
Positions (direct):
Dy 0.000 0.000 0.000
Dy 0.000 0.165 0.000
Dy 0.000 0.835 0.000
Dy 0.500 0.335 0.000
Dy 0.500 0.500 0.000
Dy 0.500 0.665 0.000
Ga 0.000 0.282 0.500
Ga 0.000 0.718 0.500
Ga 0.500 0.218 0.500
Ga 0.500 0.782 0.500
Hg 0.000 0.421 0.500
Hg 0.000 0.579 0.500
Hg 0.500 0.079 0.500
Hg 0.500 0.921 0.500

Computed properties:
energy relative to the elements = -0.5220 eV per atom
density of states at the Fermi level = 0.863 states/eV/atom
SG = Cmmm